YPu3Tl2O12, optimized geometry, DFT GGA-PBE; N(E_F) = 7.72 states/eV per cell; total magnetic moment = 5.0 μB per formula unit; calculated total energy = -155.471 eV/cell; space-group type = R-3m; raw formation energy = -2321.1 meV per atom
1.0
-3.800 3.770 -5.739
0.874 -2.565 -7.365
-6.068 -3.593 -3.444
Y Pu Tl O
1 3 2 12
direct
0.000 0.000 0.000
0.500 0.000 0.000
0.000 0.500 0.000
0.000 0.000 0.500
0.679 0.679 0.679
0.321 0.321 0.321
0.307 0.307 0.950
0.932 0.932 0.337
0.337 0.932 0.932
0.950 0.307 0.307
0.932 0.337 0.932
0.307 0.950 0.307
0.693 0.693 0.050
0.068 0.068 0.663
0.663 0.068 0.068
0.050 0.693 0.693
0.068 0.663 0.068
0.693 0.050 0.693